## TlMoRh (PBE-GGA)

Data for TlMoRh after structural relaxation.

The structure in CIF format:
```
data_TlMoRh
_symmetry_space_group_name_H-M 'I 4 m m'
_symmetry_Int_Tables_number 107
_symmetry_space_group_name_Hall 'I 4 -2'
_cell_length_a 2.9688
_cell_length_b 2.9688
_cell_length_c 11.9596
_cell_angle_alpha 90.00
_cell_angle_beta 90.00
_cell_angle_gamma 90.00
loop_
_atom_site_label
_atom_site_fract_x
_atom_site_fract_y
_atom_site_fract_z
Tl1 0.0000 0.0000 0.0000
Mo1 0.0000 0.0000 0.3149
Rh1 0.0000 0.0000 0.6800
```

* mass density: 12.704 Mg/m³
* energy of formation from the pure elements: 0.2465 eV per atom